[1]
Here is a relaxed Cs2PaCoS5 crystal from Alexandria. Energies are from GGA-PBE.

The value obtained for the uncorrected formation energy is -9.9 eV per formula unit.

Unit cell a=4.065 b=10.386 c=14.617 alpha=90.00 beta=90.00 gamma=101.29
Site moments in Bohr magnetons follow the coordinates.
Element x y z (fractional)
Cs  0.876  0.752  0.840  0.01
Cs  0.133  0.266  0.695  0.00
Cs  0.124  0.248  0.340  0.01
Cs  0.867  0.734  0.195  0.00
Pa  0.805  0.609  0.523  0.09
Pa  0.195  0.391  0.023  0.09
Co  0.582  0.164  0.919  0.88
Co  0.418  0.836  0.419  0.88
S  0.317  0.635  0.016  0.01
S  0.691  0.382  0.901  0.02
S  0.516  0.032  0.811  0.09
S  0.316  0.632  0.641  0.01
S  0.935  0.871  0.477  0.01
S  0.683  0.365  0.516  0.01
S  0.309  0.618  0.401  0.02
S  0.484  0.968  0.311  0.09
S  0.684  0.368  0.141  0.01
S  0.065  0.129  0.977  0.01



[2]
Here is a relaxed CsPa2Co2S6 crystal from Alexandria. Energies are from GGA-PBE.

The value obtained for the uncorrected formation energy is -11.9 eV per formula unit.

Unit cell a=7.273 b=7.390 c=7.593 alpha=120.74 beta=89.74 gamma=61.62
Site moments in Bohr magnetons follow the coordinates.
Element x y z (fractional)
Cs  0.500  0.000  0.500  0.00
Pa  0.833  0.338  0.833  -0.24
Pa  0.167  0.662  0.167  -0.24
Co  0.143  0.805  0.858  1.56
Co  0.857  0.195  0.142  1.56
S  0.416  0.750  0.994  0.03
S  0.995  0.412  0.164  0.03
S  0.157  0.831  0.581  0.04
S  0.005  0.588  0.836  0.03
S  0.843  0.169  0.419  0.04
S  0.584  0.250  0.006  0.03



[3]
Here is a relaxed Cs2PaCo2S6 crystal from Alexandria. Energies are from GGA-PBE.

The value obtained for the uncorrected formation energy is -9.6 eV per formula unit.

Unit cell a=7.341 b=7.339 c=7.754 alpha=118.31 beta=90.00 gamma=120.01
Site moments in Bohr magnetons follow the coordinates.
Element x y z (fractional)
Cs  0.738  0.476  0.214  0.00
Cs  0.262  0.524  0.786  0.00
Pa  0.500  0.000  0.500  0.37
Co  0.940  0.879  0.818  2.09
Co  0.060  0.121  0.182  2.09
S  0.747  0.495  0.737  0.17
S  0.252  0.010  0.263  0.17
S  0.243  0.990  0.737  0.17
S  0.748  0.990  0.737  0.17
S  0.757  0.010  0.263  0.17
S  0.253  0.505  0.263  0.17



[4]
Here is a relaxed CsPaCoSe4 crystal from Alexandria. Energies are from GGA-PBE.

The value obtained for the uncorrected formation energy is -7.0 eV per formula unit.

Unit cell a=6.885 b=6.053 c=9.957 alpha=90.00 beta=105.88 gamma=90.00
Site moments in Bohr magnetons follow the coordinates.
Element x y z (fractional)
Cs  0.762  0.750  0.953  0.00
Cs  0.238  0.250  0.047  0.00
Pa  0.737  0.750  0.452  -0.10
Pa  0.263  0.250  0.548  -0.10
Co  0.252  0.750  0.352  1.53
Co  0.748  0.250  0.648  1.53
Se  0.010  0.506  0.688  0.01
Se  0.990  0.006  0.312  0.01
Se  0.990  0.494  0.312  0.01
Se  0.010  0.994  0.688  0.01
Se  0.453  0.750  0.196  0.08
Se  0.547  0.250  0.804  0.08
Se  0.428  0.750  0.588  0.06
Se  0.572  0.250  0.412  0.06



[5]
Here is a relaxed CsPaCoSe3 crystal from Alexandria. Energies are from GGA-PBE.

The value obtained for the uncorrected formation energy is -6.5 eV per formula unit.

Unit cell a=4.019 b=9.894 c=10.140 alpha=115.95 beta=90.00 gamma=90.00
Site moments in Bohr magnetons follow the coordinates.
Element x y z (fractional)
Cs  0.250  0.220  0.250  0.00
Cs  0.750  0.780  0.750  0.00
Pa  0.250  0.693  0.172  -0.64
Pa  0.750  0.307  0.828  -0.64
Co  0.250  0.088  0.599  1.58
Co  0.750  0.912  0.401  1.58
Se  0.750  0.882  0.149  0.03
Se  0.250  0.118  0.851  0.03
Se  0.250  0.813  0.472  0.08
Se  0.750  0.187  0.528  0.08
Se  0.750  0.471  0.148  0.02
Se  0.250  0.529  0.852  0.02



[6]
Here is a relaxed Cs2PaCo2Se6 crystal from Alexandria. Energies are from GGA-PBE.

The value obtained for the uncorrected formation energy is -8.4 eV per formula unit.

Unit cell a=7.702 b=7.701 c=8.044 alpha=118.60 beta=90.00 gamma=120.01
Site moments in Bohr magnetons follow the coordinates.
Element x y z (fractional)
Cs  0.742  0.483  0.226  0.01
Cs  0.258  0.517  0.774  0.01
Pa  0.500  0.000  0.500  0.37
Co  0.943  0.886  0.828  2.02
Co  0.057  0.114  0.172  2.02
Se  0.748  0.496  0.742  0.13
Se  0.251  0.002  0.255  0.13
Se  0.250  0.998  0.745  0.13
Se  0.749  0.998  0.745  0.13
Se  0.750  0.002  0.255  0.13
Se  0.252  0.504  0.258  0.13



[7]
Here is a relaxed CsCo3Pb crystal from Alexandria. Energies are from GGA-PBE.

For the polymorph energy (0 for the lowest one), the calculation gives 0.000 eV/atom. As for the formation energy from the elements: 1.36 eV/atom.

Unit cell a=5.158 b=5.158 c=5.158 alpha=90.00 beta=90.00 gamma=90.00
Site moments in Bohr magnetons follow the coordinates.
Element x y z (fractional)
Cs  0.500  0.500  0.500  0.00
Co  0.000  0.500  0.000  1.90
Co  0.000  0.000  0.500  1.90
Co  0.500  0.000  0.000  1.90
Pb  0.000  0.000  0.000  -0.02



[8]
Here is a relaxed Cs2CoPb crystal from Alexandria. Energies are from GGA-PBE.

As for the formation energy from the elements: 1.27 eV/atom.

Unit cell a=8.079 b=8.079 c=7.636 alpha=58.06 beta=58.06 gamma=90.00
Element x y z (fractional)
Pb  0.000  0.000  0.000
Pb  0.750  0.250  0.500
Cs  0.490  0.125  0.250
Cs  0.260  0.625  0.250
Cs  0.375  0.510  0.750
Cs  0.875  0.740  0.750
Co  0.500  0.500  0.000
Co  0.250  0.750  0.500



[9]
Here is a relaxed CsCo3Pb crystal from Alexandria. Energies are from GGA-PBE.

For the polymorph energy (0 for the lowest one), the calculation gives 0.826 eV/atom. As for the formation energy from the elements: 2.18 eV/atom.

Unit cell a=4.832 b=4.832 c=4.832 alpha=90.00 beta=90.00 gamma=90.00
Site moments in Bohr magnetons follow the coordinates.
Element x y z (fractional)
Pb  0.500  0.500  0.500  -0.05
Cs  0.000  0.000  0.000  -0.04
Co  0.000  0.500  0.000  1.12
Co  0.000  0.000  0.500  0.93
Co  0.500  0.000  0.000  0.84



[10]
Here is a relaxed CsCo2RhPb crystal from Alexandria. Energies are from GGA-PBE.

As for the formation energy from the elements: 1.82 eV/atom.

Unit cell a=4.935 b=6.668 c=4.935 alpha=90.00 beta=90.00 gamma=90.00
Site moments in Bohr magnetons follow the coordinates.
Element x y z (fractional)
Pb  0.000  0.000  0.000  -0.08
Cs  0.000  0.500  0.000  -0.01
Rh  0.500  0.500  0.500  0.93
Co  0.000  0.000  0.500  1.71
Co  0.500  0.000  0.000  1.85



[11]
Here is a relaxed Cs2CoSnPb crystal from Alexandria. Energies are from GGA-PBE.

As for the formation energy from the elements: 0.70 eV/atom.

Unit cell a=7.441 b=4.892 c=7.441 alpha=90.00 beta=90.00 gamma=90.00
Site moments in Bohr magnetons follow the coordinates.
Element x y z (fractional)
Pb  0.000  0.000  0.000  -0.19
Cs  0.000  0.000  0.500  0.01
Cs  0.500  0.000  0.000  0.01
Co  0.000  0.500  0.000  1.52
Sn  0.500  0.500  0.500  0.51



[12]
Here is a relaxed CsCoPd2 crystal from Alexandria. Energies are from GGA-PBE.

For the polymorph energy (0 for the lowest one), the calculation gives 0.394 eV/atom. As for the formation energy from the elements: 0.95 eV/atom.

Unit cell a=4.871 b=4.871 c=4.871 alpha=60.00 beta=60.00 gamma=60.00
Site moments in Bohr magnetons follow the coordinates.
Element x y z (fractional)
Cs  0.500  0.500  0.500  -0.03
Co  0.000  0.000  0.000  1.93
Pd  0.250  0.250  0.250  0.05
Pd  0.750  0.750  0.750  0.05



How do the records compare in DFT total energy? In the order shown, they have -5.425, -6.425, -5.433, -5.490, -5.741, -4.975, -3.820, -1.864, -2.993, -3.409, -2.603, -3.632 eV per atom.
How do the records compare in magnetization? In the order shown, they have 2.57, 2.96, 6.42, 3.58, 1.96, 5.88, 5.70, 0.00, 2.64, 4.30, 2.67, 1.93 μB/cell.